[1]
CsGe2Rh2 | meta-GGA SCAN | single point on PBEsol structure

a b c (Å): 4.118 4.118 13.991
angles (deg): 90.00 90.00 90.00
Space group I4/mmm (No. 139)
Asymmetric unit:
Cs1 0.000 0.000 0.000
Ge1 0.000 0.000 0.339
Rh1 0.000 0.500 0.250

Calculated values
For the spin magnetization, the calculation gives 0.000 μB/atom. Its density of states at the Fermi level is 4.69 states/eV/cell. The calculation puts the calculated density at 6.8 g cm⁻³. Its total energy is -29.2338 eV per atom.



[2]
CsGeRh3 | meta-GGA SCAN | single point on PBEsol structure

a b c (Å): 4.673 4.673 4.673
angles (deg): 90.00 90.00 90.00
Space group Pm-3m (No. 221)
Asymmetric unit:
Cs1 0.000 0.000 0.000
Ge1 0.500 0.500 0.500
Rh1 0.000 0.500 0.500

Calculated values
For the spin magnetization, the calculation gives 0.237 μB/atom. Its density of states at the Fermi level is 3.25 states/eV/cell. The calculation puts the calculated density at 8.4 g cm⁻³. Its total energy is -31.0878 eV per atom.



[3]
CsGeRu3 | meta-GGA SCAN | single point on PBEsol structure

a b c (Å): 4.700 4.700 4.700
angles (deg): 90.00 90.00 90.00
Space group Pm-3m (No. 221)
Asymmetric unit:
Cs1 0.000 0.000 0.000
Ge1 0.500 0.500 0.500
Ru1 0.000 0.500 0.500

Calculated values
For the spin magnetization, the calculation gives 0.895 μB/atom. Its density of states at the Fermi level is 4.04 states/eV/cell. The calculation puts the calculated density at 8.1 g cm⁻³. Its total energy is -30.9592 eV per atom.



[4]
Cs2GeRu | meta-GGA SCAN | single point on PBEsol structure

a b c (Å): 7.779 7.779 7.779
angles (deg): 90.00 90.00 90.00
Space group Fm-3m (No. 225)
Asymmetric unit:
Cs1 0.250 0.250 0.250
Ge1 0.000 0.000 0.000
Ru1 0.000 0.000 0.500

Calculated values
For the spin magnetization, the calculation gives 0.115 μB/atom. Its density of states at the Fermi level is 20.68 states/eV/cell. The calculation puts the calculated density at 6.2 g cm⁻³. Its total energy is -30.9066 eV per atom.



[5]
CsTaGeS5 | meta-GGA SCAN | single point on PBEsol structure

a b c (Å): 6.922 7.261 9.390
angles (deg): 67.95 76.61 73.23
Space group P-1 (No. 2)
Asymmetric unit:
Cs1 0.109 0.361 0.307
Ta1 0.256 0.986 0.996
Ge1 0.476 0.703 0.372
S1 0.073 0.778 0.963
S2 0.182 0.868 0.287
S3 0.291 0.115 0.710
S4 0.416 0.617 0.635
S5 0.425 0.251 0.979

Calculated values
For the spin magnetization, the calculation gives 0.000 μB/atom. As for the raw formation energy: -978 meV/atom. The calculation puts the calculated density at 4.4 g cm⁻³. Its total energy is -22.4304 eV per atom.



[6]
CsSc3Ge | meta-GGA SCAN | single point on PBEsol structure

a b c (Å): 5.289 5.289 5.289
angles (deg): 90.00 90.00 90.00
Space group Pm-3m (No. 221)
Asymmetric unit:
Cs1 0.000 0.000 0.000
Sc1 0.000 0.500 0.500
Ge1 0.500 0.500 0.500

Calculated values
For the spin magnetization, the calculation gives 0.001 μB/atom. Its density of states at the Fermi level is 7.87 states/eV/cell. The calculation puts the calculated density at 3.8 g cm⁻³. Its total energy is -19.5909 eV per atom.



- What is the spin magnetization in the third record?
  0.895 μB/atom